1.
The following is a DFT calculation (GGA-PBE) of a relaxed HgRh crystal.

Electronic total energy ... -3.641 eV per atom
SG ... P4/nmm (129)
Total moment ... 0.7 μB/f.u.

a = 2.961 Å, b = 2.961 Å, c = 8.255 Å
α = 90.00°, β = 90.00°, γ = 90.00°
Fractional positions:
Hg (0.250, 0.250, 0.156)
Hg (0.750, 0.750, 0.844)
Rh (0.250, 0.250, 0.600)
Rh (0.750, 0.750, 0.400)

***

2.
The following is a DFT calculation (GGA-PBE) of a relaxed BaLaFeSi2 crystal.

SG ... P4/mmm (123)
E_form (uncorrected) ... 1.26 eV per atom
Total moment ... 3.1 μB/f.u.

a = 5.498 Å, b = 5.498 Å, c = 5.055 Å
α = 90.00°, β = 90.00°, γ = 90.00°
Fractional positions:
Ba (0.000, 0.000, 0.000)
La (0.500, 0.500, 0.500)
Fe (0.000, 0.000, 0.500)
Si (0.000, 0.500, 0.000)
Si (0.500, 0.000, 0.000)

***

Q: Among the records above, which one has the lowest total moment?
A: HgRh

***

Q: Look up the total moment of the first one.
A: 0.7 μB/f.u.